Model 1:
First-principles (GGA-PBEsol) data for a relaxed structure of BaBe, as listed in Alexandria via LeMat-Bulk.

extended XYZ file:
```
2
Lattice="3.886 0.000 0.000 0.000 3.886 0.000 0.000 0.000 3.886" Properties=species:S:1:pos:R:3 pbc="T T T"
Ba 0.000 0.000 0.000
Be 1.943 1.943 1.943
```

- ρ (g cm⁻³) = 4.14
- size of the total moment (μB per formula unit) = 0.00
- calculated volume (A^3/atom) = 29.3

---

Model 2:
First-principles (GGA-PBEsol) data for a relaxed structure of BaBe, as listed in Alexandria via LeMat-Bulk.

extended XYZ file:
```
4
Lattice="5.490 0.000 0.000 -2.745 4.755 0.000 0.000 0.000 4.251" Properties=species:S:1:pos:R:3 pbc="T T T"
Ba 0.000 3.170 1.063
Ba 2.745 1.585 3.188
Be 0.000 0.000 1.063
Be 0.000 0.000 3.188
```

- ρ (g cm⁻³) = 4.38
- size of the total moment (μB per formula unit) = 0.00
- calculated volume (A^3/atom) = 27.7

---

Most stable structure, least stable structure: model 2, model 1.